The following is a DFT calculation (PBE+U) of crystalline NaCrO2F at its relaxed geometry.

Summary:
Theoretical density = 3.7 g cm⁻³
Space group = P4/mmm, No. 123
Magnetization = 2.00 Bohr magnetons per cell
Calculated total energy = -5.9524 eV/atom

a = 3.7722 Å, b = 3.7722 Å, c = 4.0102 Å
α = 90.00°, β = 90.00°, γ = 90.00°
With the nearest neighbours (Å) after each atom.
Sites, in units of the cell vectors:
1 Na 0.0000 0.0000 0.0000  4 F 2.67, 8 O 2.75
2 Cr 0.5000 0.5000 0.5000  4 O 1.89, 2 F 2.01
3 O 0.0000 0.5000 0.5000  2 Cr 1.89
4 O 0.5000 0.0000 0.5000  2 Cr 1.89
5 F 0.5000 0.5000 0.0000  2 Cr 2.01